Entry 1:
PrSmY2S6: relaxed, PBE-GGA.

Values from the calculation:
- E_form (uncorrected) (eV/atom) = -2.04

Structure (extended XYZ):
```
10
Lattice="-3.784 -4.126 4.290 2.297 -1.345 6.532 -3.551 3.164 5.709" Properties=species:S:1:pos:R:3 pbc="T T T"
Y -3.413 2.939 5.615
Y -2.363 -1.408 8.159
S -2.250 1.277 7.422
S 0.357 -1.366 8.279
S -2.864 -3.796 9.366
S -2.720 -2.101 5.550
S -2.485 -0.243 10.686
S -5.082 -0.804 8.244
Pr -3.235 -2.616 12.025
Sm -0.685 -1.515 3.737
```

***

Entry 2:
PmPrY2: relaxed, PBE-GGA.

Values from the calculation:
- ΔE to the lowest computed polymorph (meV per atom) = 92
- formation energy (eV/atom) = 0.10

Structure (extended XYZ):
```
4
Lattice="-4.851 2.357 -2.061 -5.135 -2.098 1.601 -3.418 3.083 3.484" Properties=species:S:1:pos:R:3 pbc="T T T"
Pm 0.000 0.000 0.000
Pr -6.702 1.671 1.512
Y -10.053 2.506 2.268
Y -3.351 0.835 0.756
```

***

Entry 3:
KMnOs2: relaxed, PBE-GGA.

Values from the calculation:
- ΔE to the lowest computed polymorph (meV per atom) = 2
- formation energy (eV/atom) = 0.72

Structure (extended XYZ):
```
4
Lattice="-8.066 -5.762 -2.182 -8.232 -5.914 0.536 -9.372 -3.817 -0.785" Properties=species:S:1:pos:R:3 pbc="T T T"
Mn -19.253 -11.620 -1.824
Os -12.425 -7.499 -1.177
Os -0.410 -0.247 -0.039
K -6.418 -3.873 -0.608
```